Entry 1:
Computed, not measured: a geometry-optimized HW structure at the PBE-GGA level of DFT.

Values from the calculation:
**VASP energy**: -94.6 eV per cell
**Space-group type**: No. 44
**Distance to the lowest polymorph of the same formula**: 134 meV per atom

abc: 8.8912 2.9516 4.2023
angles: 90.00 90.00 90.00
Fractional positions:
H (0.8206, 0.0000, 0.7205)
H (0.3206, 0.5000, 0.2205)
H (0.0000, 0.0000, 0.4469)
H (0.5000, 0.5000, 0.9469)
H (0.6794, 0.5000, 0.2205)
H (0.1794, 0.0000, 0.7205)
W (0.1704, 0.0000, 0.1914)
W (0.5000, 0.0000, 0.2313)
W (0.0000, 0.5000, 0.7313)
W (0.6704, 0.5000, 0.6914)
W (0.3296, 0.5000, 0.6914)
W (0.8296, 0.0000, 0.1914)

=====

Entry 2:
Computed, not measured: a geometry-optimized HW4 structure at the PBE-GGA level of DFT.

Values from the calculation:
**VASP energy**: -53.3 eV per cell
**Space-group type**: No. 221

abc: 4.0706 4.0706 4.0706
angles: 90.00 90.00 90.00
Fractional positions:
H (0.5000, 0.5000, 0.5000)
W (0.0000, 0.0000, 0.0000)
W (0.0000, 0.5000, 0.5000)
W (0.5000, 0.0000, 0.5000)
W (0.5000, 0.5000, 0.0000)

=====

Entry 3:
Computed, not measured: a geometry-optimized HW structure at the PBE-GGA level of DFT.

Values from the calculation:
**VASP energy**: -61.9 eV per cell
**Space-group type**: No. 136
**Distance to the lowest polymorph of the same formula**: 276 meV per atom

abc: 4.9224 4.9224 3.1791
angles: 90.00 90.00 90.00
Fractional positions:
H (0.3454, 0.6546, 0.0000)
H (0.8454, 0.8454, 0.5000)
H (0.6546, 0.3454, 0.0000)
H (0.1546, 0.1546, 0.5000)
W (0.7871, 0.2129, 0.5000)
W (0.7129, 0.7129, 0.0000)
W (0.2871, 0.2871, 0.0000)
W (0.2129, 0.7871, 0.5000)

=====

Entry 4:
Computed, not measured: a geometry-optimized H5W structure at the PBE-GGA level of DFT.

Values from the calculation:
**VASP energy**: -28.2 eV per cell
**Space-group type**: No. 65
**Distance to the lowest polymorph of the same formula**: 0 meV per atom

abc: 2.8832 2.8633 4.9667
angles: 106.75 90.00 90.00
Fractional positions:
W (0.0000, 0.0000, 0.0000)
H (0.5000, 0.5000, 0.0000)
H (0.5000, 0.8696, 0.7393)
H (0.5000, 0.1304, 0.2607)
H (0.0000, 0.3694, 0.7389)
H (0.0000, 0.6306, 0.2611)

=====

Entry 5:
Computed, not measured: a geometry-optimized HW structure at the PBE-GGA level of DFT.

Values from the calculation:
**VASP energy**: -31.3 eV per cell
**Space-group type**: No. 186
**Distance to the lowest polymorph of the same formula**: 180 meV per atom

abc: 2.9890 2.9890 4.9466
angles: 90.00 90.00 120.00
Fractional positions:
W (0.6667, 0.3333, 0.2235)
W (0.3333, 0.6667, 0.7235)
H (0.3333, 0.6667, 0.3585)
H (0.6667, 0.3333, 0.8585)

=====

Entry 6:
Computed, not measured: a geometry-optimized HW structure at the PBE-GGA level of DFT.

Values from the calculation:
**VASP energy**: -252.9 eV per cell
**Space-group type**: No. 70
**Distance to the lowest polymorph of the same formula**: 113 meV per atom

abc: 6.0749 8.4757 5.8993
angles: 90.00 90.00 90.00
Fractional positions:
H (0.5000, 0.6164, 0.0000)
H (0.5000, 0.3836, 0.0000)
H (0.7500, 0.3664, 0.2500)
H (0.2500, 0.3664, 0.7500)
H (0.0000, 0.8836, 0.0000)
H (0.5000, 0.1164, 0.5000)
H (0.0000, 0.1164, 0.0000)
H (0.2500, 0.8664, 0.2500)
H (0.5000, 0.8836, 0.5000)
H (0.0000, 0.6164, 0.5000)
H (0.0000, 0.3836, 0.5000)
H (0.7500, 0.1336, 0.2500)
H (0.2500, 0.1336, 0.7500)
H (0.7500, 0.6336, 0.7500)
H (0.7500, 0.8664, 0.7500)
H (0.2500, 0.6336, 0.2500)
W (0.7762, 0.5000, 0.0000)
W (0.7238, 0.0000, 0.0000)
W (0.7762, 0.0000, 0.5000)
W (0.2762, 0.5000, 0.5000)
W (0.4738, 0.2500, 0.2500)
W (0.0262, 0.7500, 0.7500)
W (0.2238, 0.5000, 0.0000)
W (0.2762, 0.0000, 0.0000)
W (0.0262, 0.2500, 0.2500)
W (0.9738, 0.2500, 0.7500)
W (0.9738, 0.7500, 0.2500)
W (0.5262, 0.2500, 0.7500)
W (0.4738, 0.7500, 0.7500)
W (0.5262, 0.7500, 0.2500)
W (0.7238, 0.5000, 0.5000)
W (0.2238, 0.0000, 0.5000)

=====

Number 5 is which compound?
HW